[1]
DFT (PBE-GGA) results for an optimized crystal structure of YZr2PdO.

Computed properties:
- DOS at the Fermi energy (states/eV/atom) = 0.6171
- total energy (eV/cell) = -39.95
- formation energy from raw total energies (meV per atom) = -1248

Lattice parameters (Å, degrees): 4.435 4.435 4.723 90.00 90.00 90.00
Fractional positions:
Zr 0.500 0.000 0.000
O 0.000 0.000 0.000
Pd 0.500 0.500 0.500
Zr 0.000 0.500 0.000
Y 0.000 0.000 0.500

=====

[2]
DFT (PBE-GGA) results for an optimized crystal structure of CaRhN2.

Computed properties:
- DOS at the Fermi energy (states/eV/atom) = 0.4375
- total energy (eV/cell) = -24.27
- formation energy from raw total energies (meV per atom) = 432
- ΔE to the lowest computed polymorph (kJ/mol of atoms) = 60.4

Lattice parameters (Å, degrees): 3.983 3.983 3.983 60.00 60.00 60.00
Fractional positions:
N 0.250 0.250 0.250
N 0.750 0.750 0.750
Rh 0.500 0.500 0.500
Ca 0.000 0.000 0.000

=====

[3]
DFT (PBE-GGA) results for an optimized crystal structure of Co2Ir3Pt2.

Computed properties:
- calculated formation energy (eV/atom) = 0.0058
- DOS at the Fermi energy (states/eV/atom) = 1.2282
- total energy (eV/cell) = -52.84

Lattice parameters (Å, degrees): 2.710 2.715 13.511 84.23 90.00 90.00
Each line ends with the local moment (μB).
Fractional positions:
Pt 0.500 0.294 0.411  0.23
Ir 0.000 0.000 0.000  -0.13
Ir 0.500 0.428 0.144  0.17
Ir 0.500 0.572 0.856  0.17
Pt 0.500 0.706 0.589  0.23
Co 0.000 0.862 0.277  1.75
Co 0.000 0.138 0.723  1.75

=====

[4]
DFT (PBE-GGA) results for an optimized crystal structure of LiCo4Sb.

Computed properties:
- DOS at the Fermi energy (states/eV/atom) = 1.2919
- total energy (eV/cell) = -33.91
- formation energy from raw total energies (meV per atom) = 91

Lattice parameters (Å, degrees): 4.847 4.847 4.847 60.00 60.00 60.00
Each line ends with the local moment (μB).
Fractional positions:
Sb 0.000 0.000 0.000  0.07
Li 0.250 0.250 0.250  -0.03
Co 0.126 0.625 0.625  1.77
Co 0.625 0.625 0.625  1.77
Co 0.625 0.126 0.625  1.77
Co 0.625 0.625 0.126  1.77

=====

[5]
DFT (PBE-GGA) results for an optimized crystal structure of TiInSb2Rh.

Computed properties:
- DOS at the Fermi energy (states/eV/atom) = 1.3698
- total energy (eV/cell) = -24.87
- formation energy from raw total energies (meV per atom) = 272

Lattice parameters (Å, degrees): 5.117 5.117 4.896 90.00 90.00 90.00
Fractional positions:
Ti 0.000 0.000 0.500
Sb 0.000 0.500 0.000
Sb 0.500 0.000 0.000
In 0.500 0.500 0.500
Rh 0.000 0.000 0.000

=====

[6]
DFT (PBE-GGA) results for an optimized crystal structure of VSBr3.

Computed properties:
- DOS at the Fermi energy (states/eV/atom) = 0.0674
- total energy (eV/cell) = -86.77
- formation energy from raw total energies (meV per atom) = -686
- ΔE to the lowest computed polymorph (kJ/mol of atoms) = 0.0

Lattice parameters (Å, degrees): 7.006 7.847 12.321 87.41 84.19 63.48
Fractional positions:
Br 0.046 0.182 0.470
Br 0.475 0.735 0.419
V 0.991 0.879 0.152
Br 0.772 0.182 0.030
Br 0.228 0.818 0.970
Br 0.728 0.082 0.297
V 0.129 0.879 0.348
V 0.871 0.121 0.652
S 0.049 0.641 0.292
Br 0.210 0.265 0.919
Br 0.189 0.082 0.203
S 0.951 0.359 0.708
S 0.690 0.359 0.792
S 0.310 0.641 0.208
Br 0.272 0.918 0.703
Br 0.525 0.265 0.581
Br 0.811 0.918 0.797
Br 0.790 0.735 0.081
V 0.009 0.121 0.848
Br 0.954 0.818 0.530

=====

[7]
DFT (PBE-GGA) results for an optimized crystal structure of ZnCr2Sb2.

Computed properties:
- DOS at the Fermi energy (states/eV/atom) = 0.5239
- total energy (eV/cell) = -27.12
- formation energy from raw total energies (meV per atom) = 330
- ΔE to the lowest computed polymorph (kJ/mol of atoms) = 5.5

Lattice parameters (Å, degrees): 3.424 3.424 8.683 78.63 78.63 90.00
Fractional positions:
Cr 0.250 0.750 0.500
Zn 0.000 0.000 0.000
Sb 0.624 0.624 0.753
Cr 0.750 0.250 0.500
Sb 0.376 0.376 0.247

=====

[8]
DFT (PBE-GGA) results for an optimized crystal structure of CdTe3S.

Computed properties:
- DOS at the Fermi energy (states/eV/atom) = 0.8557
- total energy (eV/cell) = -12.41
- formation energy from raw total energies (meV per atom) = 411
- ΔE to the lowest computed polymorph (kJ/mol of atoms) = 0.0

Lattice parameters (Å, degrees): 5.292 5.292 5.292 90.00 90.00 90.00
Fractional positions:
Cd 0.500 0.500 0.500
Te 0.500 0.000 0.000
Te 0.000 0.000 0.500
S 0.000 0.000 0.000
Te 0.000 0.500 0.000